Record 1
## Ac2DyZrO6 (PBE-GGA)

Data for an optimized crystal structure of Ac2DyZrO6.

## Properties
Calculated total energy ... -167.44 eV/cell
Formation energy (no corrections) ... -3.26 eV per atom
SG ... P2_1/c

a = 6.045 Å, b = 6.101 Å, c = 10.388 Å
α = 90.00°, β = 125.05°, γ = 90.00°
Positions (direct):
1 Ac 0.235 0.058 0.246
2 Ac 0.235 0.442 0.746
3 Ac 0.765 0.558 0.254
4 Ac 0.765 0.942 0.754
5 Dy 0.500 0.000 0.000
6 Dy 0.500 0.500 0.500
7 Zr 0.000 0.000 0.500
8 Zr 0.000 0.500 0.000
9 O 0.136 0.203 0.941
10 O 0.136 0.297 0.441
11 O 0.247 0.692 0.947
12 O 0.247 0.808 0.447
13 O 0.351 0.029 0.744
14 O 0.351 0.471 0.244
15 O 0.649 0.529 0.756
16 O 0.649 0.971 0.256
17 O 0.753 0.192 0.553
18 O 0.753 0.308 0.053
19 O 0.864 0.703 0.559
20 O 0.864 0.797 0.059

Record 2
## Sr2Zn3Ag4Hg (PBE-GGA)

Data for an optimized crystal structure of Sr2Zn3Ag4Hg.

## Properties
Calculated total energy ... -21.05 eV/cell
Calculated formation energy ... -0.216 eV/atom
SG ... P-4m2

a = 4.613 Å, b = 4.613 Å, c = 10.986 Å
α = 90.00°, β = 90.00°, γ = 90.00°
Positions (direct):
1 Sr 0.000 0.500 0.244
2 Sr 0.500 0.000 0.756
3 Zn 0.000 0.500 0.881
4 Zn 0.500 0.000 0.119
5 Zn 0.500 0.500 0.500
6 Ag 0.000 0.000 0.000
7 Ag 0.000 0.500 0.646
8 Ag 0.500 0.000 0.354
9 Ag 0.500 0.500 0.000
10 Hg 0.000 0.000 0.500

Record 3
## YHo2Lu (PBE-GGA)

Data for an optimized crystal structure of YHo2Lu.

## Properties
Calculated total energy ... -20.03 eV/cell
Calculated formation energy ... 0.028 eV/atom
SG ... P4/mmm

a = 3.519 Å, b = 3.519 Å, c = 9.965 Å
α = 90.00°, β = 90.00°, γ = 90.00°
Positions (direct):
1 Y 0.000 0.000 0.000
2 Ho 0.500 0.500 0.254
3 Ho 0.500 0.500 0.746
4 Lu 0.000 0.000 0.500

Record 4
## LiGdSc2 (PBE-GGA)

Data for an optimized crystal structure of LiGdSc2.

## Properties
Calculated total energy ... -28.01 eV/cell
Calculated formation energy ... 0.161 eV/atom
SG ... R-3m

a = 10.822 Å, b = 10.822 Å, c = 10.822 Å
α = 17.68°, β = 17.68°, γ = 17.68°
Positions (direct):
1 Li 0.000 0.000 0.000
2 Gd 0.500 0.500 0.500
3 Sc 0.253 0.253 0.253
4 Sc 0.747 0.747 0.747